Sr2LiNi | the Alexandria database | PBE | relaxed; E_form = 282 meV per atom; calculated volume = 32.6 Å³/atom
1.0
8.535 0.000 0.000
0.000 8.535 0.000
4.268 4.268 3.576
Sr Li Ni
4 2 2
direct
0.070 0.625 0.250
0.375 0.320 0.750
0.680 0.125 0.250
0.875 0.930 0.750
0.500 0.500 0.000
0.250 0.750 0.500
0.000 0.000 0.000
0.750 0.250 0.500